A plane-wave DFT calculation with GGA+U was carried out for a relaxed Na3Fe2RuO6 crystal.

Values from the calculation:
Energy = -142.55 eV/cell
Calculated density = 4740 kg/m3

CIF file:
```
data_Na3Fe2RuO6
_chemical_formula_sum 'Na6 Fe4 Ru2 O12'
_symmetry_space_group_name_H-M 'C 1 2/m 1'
_symmetry_Int_Tables_number 12
_symmetry_space_group_name_Hall '-C 2y'
_cell_length_a 5.322
_cell_length_b 9.214
_cell_length_c 5.681
_cell_angle_alpha 90.00
_cell_angle_beta 108.20
_cell_angle_gamma 90.00
loop_
_atom_site_label
_atom_site_fract_x
_atom_site_fract_y
_atom_site_fract_z
Na1 0.000 0.000 0.000
Na2 0.000 0.335 0.000
Fe1 0.000 0.167 0.500
Ru1 0.000 0.500 0.500
O1 0.230 0.000 0.703
O2 0.237 0.331 0.703
```